No. 1
A geometry-optimized RbZrSb2Te structure, computed with GGA-PBEsol.

Computed properties:
Formation energy from raw total energies ... 1.53 eV per atom
Final energy ... -3.02 eV per atom
DOS(E_F) ... 7.5 states/eV per cell
Magnetization ... 1.08 Bohr magnetons per cell

Cell lengths 5.571, 5.571, 5.785 Å; angles 90.00, 90.00, 90.00 degrees
Fractional positions:
Rb 0.000 0.000 0.000
Zr 0.500 0.500 0.500
Sb 0.000 0.500 0.000
Sb 0.500 0.000 0.000
Te 0.000 0.000 0.500

---

No. 2
A geometry-optimized RbTiSb2 structure, computed with GGA-PBEsol.

Computed properties:
Formation energy from raw total energies ... 0.21 eV per atom
Final energy ... -4.40 eV per atom
DOS(E_F) ... 3.3 states/eV per cell
Magnetization ... 0.22 Bohr magnetons per cell

Cell lengths 5.250, 5.250, 5.250 Å; angles 60.00, 60.00, 60.00 degrees
Fractional positions:
Rb 0.000 0.000 0.000
Ti 0.500 0.500 0.500
Sb 0.250 0.250 0.250
Sb 0.750 0.750 0.750

---

No. 3
A geometry-optimized RbTlZnSb2 structure, computed with GGA-PBEsol.

Computed properties:
Formation energy from raw total energies ... 0.58 eV per atom
Final energy ... -2.29 eV per atom
DOS(E_F) ... 4.2 states/eV per cell
Magnetization ... 0.00 Bohr magnetons per cell

Cell lengths 5.624, 5.624, 6.743 Å; angles 90.00, 90.00, 90.00 degrees
Fractional positions:
Rb 0.000 0.000 0.000
Tl 0.000 0.000 0.500
Zn 0.500 0.500 0.000
Sb 0.000 0.500 0.500
Sb 0.500 0.000 0.500

---

No. 4
A geometry-optimized RbY3Sb structure, computed with GGA-PBEsol.

Computed properties:
Formation energy from raw total energies ... 0.19 eV per atom
Final energy ... -5.02 eV per atom
DOS(E_F) ... 9.1 states/eV per cell
Magnetization ... 2.49 Bohr magnetons per cell

Cell lengths 5.851, 5.851, 5.851 Å; angles 90.00, 90.00, 90.00 degrees
Fractional positions:
Rb 0.000 0.000 0.000
Y 0.000 0.500 0.500
Y 0.500 0.000 0.500
Y 0.500 0.500 0.000
Sb 0.500 0.500 0.500

---

No. 5
A geometry-optimized Rb2Zn5Sb4 structure, computed with GGA-PBEsol.

Computed properties:
Formation energy from raw total energies ... -0.21 eV per atom
Final energy ... -2.77 eV per atom
DOS(E_F) ... 1.6 states/eV per cell
Magnetization ... 0.00 Bohr magnetons per cell

Cell lengths 7.218, 7.218, 12.339 Å; angles 90.00, 90.00, 62.86 degrees
Fractional positions:
Rb 0.224 0.224 0.000
Rb 0.224 0.224 0.500
Rb 0.776 0.776 0.000
Rb 0.776 0.776 0.500
Zn 0.007 0.993 0.750
Zn 0.260 0.461 0.750
Zn 0.344 0.656 0.111
Zn 0.344 0.656 0.389
Zn 0.461 0.260 0.250
Zn 0.539 0.740 0.750
Zn 0.656 0.344 0.611
Zn 0.656 0.344 0.889
Zn 0.740 0.539 0.250
Zn 0.993 0.007 0.250
Sb 0.076 0.603 0.250
Sb 0.276 0.724 0.599
Sb 0.276 0.724 0.901
Sb 0.397 0.924 0.250
Sb 0.603 0.076 0.750
Sb 0.724 0.276 0.099
Sb 0.724 0.276 0.401
Sb 0.924 0.397 0.750

---

No. 6
A geometry-optimized RbSc2Se structure, computed with GGA-PBEsol.

Computed properties:
Formation energy from raw total energies ... -0.45 eV per atom
Final energy ... -4.97 eV per atom
DOS(E_F) ... 4.5 states/eV per cell
Magnetization ... 0.00 Bohr magnetons per cell

Cell lengths 10.376, 10.376, 10.376 Å; angles 20.37, 20.37, 20.37 degrees
Fractional positions:
Rb 0.000 0.000 0.000
Sc 0.116 0.116 0.116
Sc 0.884 0.884 0.884
Se 0.500 0.500 0.500

---

No. 7
A geometry-optimized RbSc3Se structure, computed with GGA-PBEsol.

Computed properties:
Formation energy from raw total energies ... 0.02 eV per atom
Final energy ... -4.92 eV per atom
DOS(E_F) ... 7.2 states/eV per cell
Magnetization ... 3.08 Bohr magnetons per cell

Cell lengths 5.247, 5.247, 5.247 Å; angles 90.00, 90.00, 90.00 degrees
Fractional positions:
Rb 0.000 0.000 0.000
Sc 0.000 0.500 0.500
Sc 0.500 0.000 0.500
Sc 0.500 0.500 0.000
Se 0.500 0.500 0.500

---

No. 8
A geometry-optimized Rb3ScSe structure, computed with GGA-PBEsol.

Computed properties:
Formation energy from raw total energies ... 0.73 eV per atom
Final energy ... -1.98 eV per atom
DOS(E_F) ... 7.7 states/eV per cell
Magnetization ... 2.02 Bohr magnetons per cell

Cell lengths 6.439, 6.439, 6.439 Å; angles 90.00, 90.00, 90.00 degrees
Fractional positions:
Rb 0.000 0.000 0.500
Rb 0.000 0.500 0.000
Rb 0.500 0.000 0.000
Sc 0.000 0.000 0.000
Se 0.500 0.500 0.500

---

No. 9
A geometry-optimized Rb3ScSi structure, computed with GGA-PBEsol.

Computed properties:
Formation energy from raw total energies ... 1.39 eV per atom
Final energy ... -1.69 eV per atom
DOS(E_F) ... 12.9 states/eV per cell
Magnetization ... 4.20 Bohr magnetons per cell

Cell lengths 6.761, 6.761, 6.761 Å; angles 90.00, 90.00, 90.00 degrees
Fractional positions:
Rb 0.000 0.000 0.500
Rb 0.000 0.500 0.000
Rb 0.500 0.000 0.000
Sc 0.000 0.000 0.000
Si 0.500 0.500 0.500

---

No. 10
A geometry-optimized RbZr2ScSi structure, computed with GGA-PBEsol.

Computed properties:
Formation energy from raw total energies ... 1.82 eV per atom
Final energy ... -4.49 eV per atom
DOS(E_F) ... 5.3 states/eV per cell
Magnetization ... 0.00 Bohr magnetons per cell

Cell lengths 4.867, 4.867, 5.338 Å; angles 90.00, 90.00, 90.00 degrees
Fractional positions:
Rb 0.000 0.000 0.000
Zr 0.000 0.500 0.000
Zr 0.500 0.000 0.000
Sc 0.500 0.500 0.500
Si 0.000 0.000 0.500

---

No. 11
A geometry-optimized Rb3ScSn structure, computed with GGA-PBEsol.

Computed properties:
Energy relative to the elements ... 0.7639 eV per atom
Final energy ... -2.02 eV per atom
DOS(E_F) ... 9.4 states/eV per cell
Magnetization ... 0.08 Bohr magnetons per cell

Cell lengths 6.920, 6.920, 6.920 Å; angles 90.00, 90.00, 90.00 degrees
Fractional positions:
Rb 0.000 0.000 0.500
Rb 0.000 0.500 0.000
Rb 0.500 0.000 0.000
Sc 0.500 0.500 0.500
Sn 0.000 0.000 0.000

---

No. 12
A geometry-optimized Rb3ScTc structure, computed with GGA-PBEsol.

Computed properties:
Energy relative to the elements ... 2.0754 eV per atom
Final energy ... -2.11 eV per atom
DOS(E_F) ... 19.7 states/eV per cell
Magnetization ... 7.01 Bohr magnetons per cell

Cell lengths 6.910, 6.910, 6.910 Å; angles 90.00, 90.00, 90.00 degrees
Fractional positions:
Rb 0.000 0.000 0.500
Rb 0.000 0.500 0.000
Rb 0.500 0.000 0.000
Sc 0.000 0.000 0.000
Tc 0.500 0.500 0.500

---

No. 13
A geometry-optimized RbSc5Te8 structure, computed with GGA-PBEsol.

Computed properties:
Formation energy from raw total energies ... -1.25 eV per atom
Final energy ... -5.69 eV per atom
DOS(E_F) ... 0.3 states/eV per cell
Magnetization ... 0.00 Bohr magnetons per cell

Cell lengths 10.739, 10.739, 10.113 Å; angles 103.69, 103.69, 21.99 degrees
Fractional positions:
Rb 0.000 0.000 0.000
Sc 0.156 0.156 0.481
Sc 0.205 0.205 0.846
Sc 0.500 0.500 0.500
Sc 0.795 0.795 0.154
Sc 0.844 0.844 0.519
Te 0.074 0.074 0.671
Te 0.261 0.261 0.339
Te 0.337 0.337 0.998
Te 0.414 0.414 0.686
Te 0.586 0.586 0.314
Te 0.663 0.663 0.002
Te 0.739 0.739 0.661
Te 0.926 0.926 0.329

---

No. 14
A geometry-optimized RbSc2Tl structure, computed with GGA-PBEsol.

Computed properties:
Energy relative to the elements ... 0.3803 eV per atom
Final energy ... -3.84 eV per atom
DOS(E_F) ... 3.6 states/eV per cell
Magnetization ... 1.81 Bohr magnetons per cell

Cell lengths 5.252, 5.252, 5.252 Å; angles 60.00, 60.00, 60.00 degrees
Fractional positions:
Rb 0.000 0.000 0.000
Sc 0.250 0.250 0.250
Sc 0.750 0.750 0.750
Tl 0.500 0.500 0.500

---

No. 15
A geometry-optimized Rb3ScTl structure, computed with GGA-PBEsol.

Computed properties:
Energy relative to the elements ... 0.7499 eV per atom
Final energy ... -1.71 eV per atom
DOS(E_F) ... 10.7 states/eV per cell
Magnetization ... 1.39 Bohr magnetons per cell

Cell lengths 6.797, 6.797, 6.797 Å; angles 90.00, 90.00, 90.00 degrees
Fractional positions:
Rb 0.000 0.000 0.500
Rb 0.000 0.500 0.000
Rb 0.500 0.000 0.000
Sc 0.500 0.500 0.500
Tl 0.000 0.000 0.000

---

No. 16
A geometry-optimized RbScW3 structure, computed with GGA-PBEsol.

Computed properties:
Energy relative to the elements ... 3.4261 eV per atom
Final energy ... -6.38 eV per atom
DOS(E_F) ... 8.8 states/eV per cell
Magnetization ... 0.00 Bohr magnetons per cell

Cell lengths 4.676, 4.676, 4.676 Å; angles 90.00, 90.00, 90.00 degrees
Fractional positions:
Rb 0.000 0.000 0.000
Sc 0.500 0.500 0.500
W 0.000 0.000 0.500
W 0.000 0.500 0.000
W 0.500 0.000 0.000

---

No. 17
A geometry-optimized Rb2Se structure, computed with GGA-PBEsol.

Computed properties:
Formation energy from raw total energies ... -1.05 eV per atom
Final energy ... -3.02 eV per atom
DOS(E_F) ... 0.0 states/eV per cell
Magnetization ... 0.00 Bohr magnetons per cell

Cell lengths 5.612, 5.612, 5.612 Å; angles 60.00, 60.00, 60.00 degrees
Fractional positions:
Rb 0.250 0.250 0.250
Rb 0.750 0.750 0.750
Se 0.000 0.000 0.000

---

No. 18
A geometry-optimized RbSe structure, computed with GGA-PBEsol.

Computed properties:
Formation energy from raw total energies ... -0.91 eV per atom
Final energy ... -3.35 eV per atom
Magnetization ... 0.00 Bohr magnetons per cell

Cell lengths 9.292, 9.292, 5.976 Å; angles 90.00, 90.00, 120.00 degrees
Fractional positions:
Rb 0.000 0.349 0.000
Rb 0.000 0.683 0.500
Rb 0.317 0.317 0.500
Rb 0.349 0.000 0.000
Rb 0.651 0.651 0.000
Rb 0.683 0.000 0.500
Se 0.000 0.000 0.202
Se 0.000 0.000 0.798
Se 0.333 0.667 0.297
Se 0.333 0.667 0.703
Se 0.667 0.333 0.297
Se 0.667 0.333 0.703

---

No. 19
A geometry-optimized RbSi3Se structure, computed with GGA-PBEsol.

Computed properties:
Formation energy from raw total energies ... 2.35 eV per atom
Offset from the most stable computed form ... 1.537 eV/atom
Final energy ... -2.08 eV per atom
DOS(E_F) ... 7.7 states/eV per cell
Magnetization ... 0.01 Bohr magnetons per cell

Cell lengths 5.372, 5.372, 5.372 Å; angles 90.00, 90.00, 90.00 degrees
Fractional positions:
Rb 0.000 0.000 0.000
Si 0.000 0.000 0.500
Si 0.000 0.500 0.000
Si 0.500 0.000 0.000
Se 0.500 0.500 0.500

---

No. 20
A geometry-optimized RbSi3Se structure, computed with GGA-PBEsol.

Computed properties:
Formation energy from raw total energies ... 0.81 eV per atom
Offset from the most stable computed form ... 0.000 eV/atom
Final energy ... -3.61 eV per atom
DOS(E_F) ... 3.3 states/eV per cell
Magnetization ... 0.00 Bohr magnetons per cell

Cell lengths 5.122, 5.122, 5.122 Å; angles 90.00, 90.00, 90.00 degrees
Fractional positions:
Rb 0.000 0.000 0.000
Si 0.000 0.500 0.500
Si 0.500 0.000 0.500
Si 0.500 0.500 0.000
Se 0.500 0.500 0.500